<A>
A plane-wave DFT calculation with PBE was carried out for an optimized crystal structure of RbRu2O2.

Results
ρ	6267	kg/m³
space group	I4/mmm
D(E_F)	7.0	states/eV/cell

a = 3.686 Å, b = 3.686 Å, c = 6.757 Å
α = 74.17°, β = 74.17°, γ = 90.00°
Element x y z (fractional)
1 Ru 0.250 0.750 0.500
2 Ru 0.750 0.250 0.500
3 O 0.657 0.657 0.686
4 O 0.343 0.343 0.314
5 Rb 0.000 0.000 0.000

=====

<B>
A plane-wave DFT calculation with PBE was carried out for an optimized crystal structure of RbRu2O2.

Results
ρ	4790	kg/m³
space group	P4/mbm
D(E_F)	6.9	states/eV/cell

a = 7.764 Å, b = 7.764 Å, c = 3.676 Å
α = 90.00°, β = 90.00°, γ = 90.00°
Element x y z (fractional)
1 Ru 0.400 0.100 0.500
2 Ru 0.600 0.900 0.500
3 Ru 0.100 0.600 0.500
4 Ru 0.900 0.400 0.500
5 Rb 0.500 0.500 0.000
6 Rb 0.000 0.000 0.000
7 O 0.145 0.645 0.000
8 O 0.645 0.855 0.000
9 O 0.355 0.145 0.000
10 O 0.855 0.355 0.000

=====

What should be chosen as the most stable of them? Choose <B>.

=====

<A>
A plane-wave DFT calculation with PBE was carried out for an optimized crystal structure of RbRu2O8.

Results
ρ	3077	kg/m³
space group	C2/m
D(E_F)	7.3	states/eV/cell

a = 5.738 Å, b = 6.529 Å, c = 7.294 Å
α = 111.40°, β = 90.00°, γ = 116.07°
Each line ends with the local moment (μB).
Element x y z (fractional)
1 O 0.090 0.694 0.224  0.05
2 O 0.629 0.258 0.190  0.05
3 O 0.910 0.306 0.776  0.05
4 O 0.396 0.306 0.776  0.05
5 O 0.604 0.694 0.224  0.05
6 O 0.371 0.742 0.810  0.05
7 O 0.157 0.314 0.439  0.05
8 O 0.843 0.686 0.561  0.05
9 Rb 0.000 0.000 0.000  0.00
10 Ru 0.209 0.418 0.699  0.27
11 Ru 0.791 0.582 0.301  0.27

=====

<B>
A plane-wave DFT calculation with PBE was carried out for an optimized crystal structure of RbRu2O8.

Results
ρ	4317	kg/m³
space group	P4/mmm
D(E_F)	10.0	states/eV/cell

a = 4.699 Å, b = 4.699 Å, c = 7.239 Å
α = 90.00°, β = 90.00°, γ = 90.00°
Each line ends with the local moment (μB).
Element x y z (fractional)
1 Rb 0.500 0.500 0.500  0.00
2 O 0.249 0.751 0.837  0.34
3 O 0.751 0.751 0.837  0.34
4 O 0.751 0.249 0.163  0.34
5 O 0.249 0.249 0.837  0.34
6 O 0.751 0.751 0.163  0.34
7 O 0.249 0.751 0.163  0.34
8 O 0.751 0.249 0.837  0.34
9 O 0.249 0.249 0.163  0.34
10 Ru 0.500 0.000 0.000  0.53
11 Ru 0.000 0.500 0.000  0.53

=====

What should be chosen as the most stable of them? Choose <A>.

=====

<A>
A plane-wave DFT calculation with PBE was carried out for an optimized crystal structure of Rb4RuO4.

Results
ρ	4237	kg/m³
space group	I4/m
D(E_F)	2.3	states/eV/cell

a = 5.720 Å, b = 8.335 Å, c = 8.335 Å
α = 90.00°, β = 90.00°, γ = 90.00°
Each line ends with the local moment (μB).
Element x y z (fractional)
1 O 0.750 0.471 0.183  0.14
2 O 0.250 0.817 0.971  0.14
3 O 0.250 0.683 0.529  0.14
4 O 0.750 0.029 0.317  0.14
5 O 0.250 0.529 0.817  0.14
6 O 0.750 0.183 0.029  0.14
7 O 0.250 0.971 0.683  0.14
8 O 0.750 0.317 0.471  0.14
9 Rb 0.750 0.645 0.457  0.00
10 Rb 0.250 0.355 0.543  0.00
11 Rb 0.750 0.043 0.645  0.00
12 Rb 0.750 0.457 0.855  0.00
13 Rb 0.250 0.957 0.355  0.00
14 Rb 0.250 0.145 0.957  0.00
15 Rb 0.250 0.543 0.145  0.00
16 Rb 0.750 0.855 0.043  0.00
17 Ru 0.750 0.250 0.250  1.29
18 Ru 0.250 0.750 0.750  1.29

=====

<B>
A plane-wave DFT calculation with PBE was carried out for an optimized crystal structure of Rb4RuO4.

Results
ρ	3028	kg/m³
space group	I-42m
D(E_F)	7.7	states/eV/cell

a = 6.792 Å, b = 6.792 Å, c = 7.706 Å
α = 116.15°, β = 116.15°, γ = 90.00°
Each line ends with the local moment (μB).
Element x y z (fractional)
1 Rb 0.500 0.000 0.000  0.00
2 Rb 0.000 0.500 0.000  0.00
3 Rb 0.285 0.285 0.571  0.00
4 Rb 0.715 0.715 0.429  0.00
5 O 0.060 0.060 0.807  0.03
6 O 0.252 0.940 0.193  0.03
7 O 0.940 0.252 0.193  0.03
8 O 0.748 0.748 0.807  0.03
9 Ru 0.000 0.000 0.000  0.26

=====

What should be chosen as the most stable of them? Choose <A>.

=====

<A>
A plane-wave DFT calculation with PBE was carried out for an optimized crystal structure of RbS2O6.

Results
ρ	1978	kg/m³
space group	R3m
D(E_F)	0.4	states/eV/cell

a = 6.309 Å, b = 6.309 Å, c = 7.002 Å
α = 63.23°, β = 63.23°, γ = 60.00°
Each line ends with the local moment (μB).
Element x y z (fractional)
1 Rb 0.643 0.643 0.072  0.00
2 O 0.517 0.122 0.239  0.09
3 O 0.551 0.157 0.741  0.10
4 O 0.122 0.517 0.239  0.09
5 O 0.157 0.551 0.741  0.10
6 O 0.551 0.551 0.741  0.10
7 O 0.122 0.122 0.239  0.09
8 S 0.266 0.266 0.203  0.04
9 S 0.406 0.406 0.781  0.04

=====

<B>
A plane-wave DFT calculation with PBE was carried out for an optimized crystal structure of RbS2O6.

Results
ρ	2342	kg/m³
space group	C2/c
D(E_F)	3.4	states/eV/cell

a = 6.280 Å, b = 8.054 Å, c = 8.054 Å
α = 75.38°, β = 68.23°, γ = 68.23°
Element x y z (fractional)
1 O 0.219 0.783 0.906
2 O 0.781 0.217 0.094
3 O 0.439 0.315 0.367
4 O 0.561 0.685 0.633
5 O 0.061 0.633 0.685
6 O 0.281 0.094 0.217
7 O 0.405 0.456 0.874
8 O 0.905 0.874 0.456
9 O 0.939 0.367 0.315
10 O 0.095 0.126 0.544
11 O 0.719 0.906 0.783
12 O 0.595 0.544 0.126
13 S 0.642 0.358 0.212
14 S 0.858 0.788 0.642
15 S 0.142 0.212 0.358
16 S 0.358 0.642 0.788
17 Rb 0.250 0.184 0.816
18 Rb 0.750 0.816 0.184

=====

What should be chosen as the most stable of them? Choose <B>.